! SmZn2Pd2Pt PBE optimized geometry; values from VASP
! Energy relative to the elements, eV per atom: -0.730
! ρ, kg/m³: 10708
&SYSTEM
  ibrav = 0, nat = 6, ntyp = 4
/
ATOMIC_SPECIES
Pd 106.42 Pd.upf
Pt 195.08 Pt.upf
Sm 150.36 Sm.upf
Zn 65.41 Zn.upf
CELL_PARAMETERS angstrom
2.6054 -4.6369 0.0000
2.6054 4.6369 0.0000
0.0000 0.0000 4.4229
ATOMIC_POSITIONS crystal
Pd 0.8213 0.1787 0.0000
Pd 0.1787 0.8213 0.0000
Pt 0.0000 0.0000 0.5000
Sm 0.5000 0.5000 0.0000
Zn 0.5000 0.0000 0.5000
Zn 0.0000 0.5000 0.5000